(A)
{"formula": "Ca2MoPd", "functional": "PBE", "state": "relaxed", "lattice_angstrom": [[-3.999, 3.999, 2.913], [3.999, -3.999, 2.913], [3.999, 3.999, -2.913]], "species": ["Ca", "Ca", "Ca", "Ca", "Mo", "Mo", "Pd", "Pd"], "frac_coords": [[0.095, 0.625, 0.970], [0.375, 0.345, 0.470], [0.655, 0.125, 0.030], [0.875, 0.905, 0.530], [0.250, 0.750, 0.500], [0.500, 0.500, 0.000], [0.000, 0.000, 0.000], [0.750, 0.250, 0.500]], "volume_a3_per_cell": 186, "dos_ef_per_ev_atom": 1.70, "m_tot_mub_per_cell": 0.0}

=====

(B)
{"formula": "Ca2MoPd", "functional": "PBE", "state": "relaxed", "lattice_angstrom": [[0.000, 3.596, 3.596], [3.596, 0.000, 3.596], [3.596, 3.596, 0.000]], "species": ["Ca", "Ca", "Mo", "Pd"], "frac_coords": [[0.250, 0.250, 0.250], [0.750, 0.750, 0.750], [0.000, 0.000, 0.000], [0.500, 0.500, 0.500]], "volume_a3_per_cell": 93, "dos_ef_per_ev_atom": 0.70, "m_tot_mub_per_cell": 3.6}

=====

Order of stability, best first: (B), (A)